(1)
Here is a relaxed structure of ScCrCu2Pb from the Alexandria database. Energies are from PBE-GGA.

- Space-group type: P4/mmm (123)
- Calculated total energy: -4.49 eV per atom
- ΔH_f (0 K): 1.080 eV per atom
- Fermi-level density of states: 4.841 states/eV/f.u.

Cell and atoms, written as POSCAR:
```
ScCrCu2Pb
1.0
4.898 0.000 0.000
0.000 4.898 0.000
0.000 0.000 5.492
Sc Cr Cu Pb
1 1 2 1
Direct
0.000 0.000 0.000
0.500 0.500 0.000
0.000 0.500 0.500
0.500 0.000 0.500
0.000 0.000 0.500
```

=====

(2)
Here is a relaxed structure of La4CoRu from the Alexandria database. Energies are from PBE-GGA.

- Space-group type: F-43m (216)
- Energy relative to the lowest polymorph listed for this composition: 1208 meV per atom
- Calculated total energy: -5.00 eV per atom
- ΔH_f (0 K): 1.017 eV per atom
- Fermi-level density of states: 12.036 states/eV/f.u.

Cell and atoms, written as POSCAR:
```
La4CoRu
1.0
0.000 4.337 4.337
4.337 0.000 4.337
4.337 4.337 0.000
La Co Ru
4 1 1
Direct
0.125 0.125 0.125
0.125 0.125 0.626
0.125 0.626 0.125
0.626 0.125 0.125
0.500 0.500 0.500
0.750 0.750 0.750
```